Density functional theory data (PBE) for a relaxed structure of Sr8Cu2Au.

Unit cell a=7.4817 b=8.4157 c=8.4157 alpha=69.44 beta=75.84 gamma=75.84
Atoms (fractional coordinates):
Cu  0.4592  0.3068  0.3068
Cu  0.5408  0.6932  0.6932
Sr  0.7472  0.3601  0.9339
Sr  0.7699  0.4160  0.4160
Sr  0.2301  0.5840  0.5840
Sr  0.2528  0.6399  0.0661
Sr  0.7385  0.8661  0.8661
Sr  0.7472  0.9339  0.3601
Sr  0.2615  0.1339  0.1339
Sr  0.2528  0.0661  0.6399
Au  0.0000  0.0000  0.0000

Output
The calculation puts the formation energy at -139.4 meV/atom. Its space group is C2/m, No. 12.